1.
The following is a PBE calculation of a geometry-optimized GdNbS2F2 structure, from the Open Quantum Materials Database.

Crystal system: tetragonal
Raw total energy, eV per atom: -6.60
Space group: P4mm (99)

Geometry as POSCAR:
```
GdNbS2F2
1.0
-1.342 1.254 3.155
1.628 -2.740 1.781
5.644 3.905 0.848
S F Nb Gd
2 2 1 1
Direct
0.500 0.500 0.353
0.000 0.000 0.624
0.500 0.000 0.987
0.000 0.500 0.987
0.000 0.000 0.267
0.500 0.500 0.783
```


2.
The following is a PBE calculation of a geometry-optimized PmGdO2F2 structure, from the Open Quantum Materials Database.

Crystal system: tetragonal
Raw total energy, eV per atom: -7.58
Space group: P4mm (99)

Geometry as POSCAR:
```
PmGdO2F2
1.0
-1.751 -2.779 1.976
3.228 -2.067 -0.046
1.618 2.418 4.835
Pm O F Gd
1 2 2 1
Direct
0.500 0.500 0.792
0.500 0.000 0.005
0.000 0.500 0.005
0.500 0.500 0.384
0.000 0.000 0.607
0.000 0.000 0.205
```


3.
The following is a PBE calculation of a geometry-optimized Gd2OsF2 structure, from the Open Quantum Materials Database.

Crystal system: tetragonal
Raw total energy, eV per atom: -5.88
Space group: I4/mmm (139)

Geometry as POSCAR:
```
Gd2OsF2
1.0
-2.515 2.515 4.326
2.515 -2.515 4.326
2.515 2.515 -4.326
F Os Gd
2 1 2
Direct
0.367 0.367 0.000
0.633 0.633 0.000
0.000 0.000 0.000
0.500 0.000 0.500
0.000 0.500 0.500
```


no.,V (Å³/atom)
1,15.4
2,13.8
3,21.9